No. 1
{
  "formula": "Pr6Rh2SI3",
  "functional": "PBE-GGA",
  "state": "relaxed",
  "lattice": [[3.692, -6.384, 0.000], [3.692, 6.384, 0.000], [-2.448, 0.000, 8.039]],
  "species": ["Pr", "Pr", "Pr", "Pr", "Pr", "Pr", "Rh", "Rh", "S", "I", "I", "I"],
  "frac_coords": [[0.091, 0.437, 0.812], [0.216, 0.216, 0.188], [0.437, 0.091, 0.812], [0.563, 0.909, 0.188], [0.784, 0.784, 0.812], [0.909, 0.563, 0.188], [0.167, 0.833, 0.000], [0.833, 0.167, 0.000], [0.500, 0.500, 0.000], [0.000, 0.000, 0.500], [0.336, 0.664, 0.500], [0.664, 0.336, 0.500]]
}


No. 2
{
  "formula": "KInPb",
  "functional": "PBE-GGA",
  "state": "relaxed",
  "e_form_mev_per_atom": -77.4,
  "lattice": [[2.804, -6.502, 0.000], [2.804, 6.502, 0.000], [0.000, 0.000, 6.209]],
  "species": ["K", "K", "In", "In", "Pb", "Pb"],
  "frac_coords": [[0.224, 0.776, 0.750], [0.776, 0.224, 0.250], [0.500, 0.500, 0.000], [0.500, 0.500, 0.500], [0.060, 0.940, 0.250], [0.940, 0.060, 0.750]]
}


No. 3
{
  "formula": "FeTcI3",
  "functional": "PBE-GGA",
  "state": "relaxed",
  "relative_energy_ev_per_atom": 0.000,
  "lattice": [[5.440, 0.000, 0.000], [0.000, 5.440, 0.000], [0.000, 0.000, 5.440]],
  "species": ["Fe", "Tc", "I", "I", "I"],
  "frac_coords": [[0.000, 0.000, 0.000], [0.500, 0.500, 0.500], [0.000, 0.000, 0.500], [0.000, 0.500, 0.000], [0.500, 0.000, 0.000]]
}


No. 4
{
  "formula": "LaInAsBr2",
  "functional": "PBE-GGA",
  "state": "relaxed",
  "relative_energy_ev_per_atom": 0.000,
  "lattice": [[5.844, 0.000, 0.000], [0.000, 5.844, 0.000], [0.000, 0.000, 5.850]],
  "species": ["La", "In", "As", "Br", "Br"],
  "frac_coords": [[0.000, 0.000, 0.000], [0.500, 0.500, 0.500], [0.000, 0.000, 0.500], [0.000, 0.500, 0.000], [0.500, 0.000, 0.000]]
}


No. 5
{
  "formula": "K3Pb4Cl12",
  "functional": "PBE-GGA",
  "state": "relaxed",
  "lattice": [[-5.508, 5.508, 5.508], [5.508, -5.508, 5.508], [5.508, 5.508, -5.508]],
  "species": ["K", "K", "K", "Pb", "Pb", "Pb", "Pb", "Cl", "Cl", "Cl", "Cl", "Cl", "Cl", "Cl", "Cl", "Cl", "Cl", "Cl", "Cl"],
  "frac_coords": [[0.000, 0.500, 0.500], [0.500, 0.000, 0.500], [0.500, 0.500, 0.000], [0.000, 0.000, 0.500], [0.000, 0.500, 0.000], [0.500, 0.000, 0.000], [0.500, 0.500, 0.500], [0.092, 0.790, 0.302], [0.210, 0.302, 0.512], [0.210, 0.698, 0.908], [0.302, 0.092, 0.790], [0.302, 0.512, 0.210], [0.488, 0.790, 0.698], [0.512, 0.210, 0.302], [0.698, 0.488, 0.790], [0.698, 0.908, 0.210], [0.790, 0.302, 0.092], [0.790, 0.698, 0.488], [0.908, 0.210, 0.698]]
}


No. 6
{
  "formula": "BaCdSi2",
  "functional": "PBE-GGA",
  "state": "relaxed",
  "lattice": [[3.547, 0.000, 0.000], [0.000, 3.547, 0.000], [0.000, 0.000, 7.752]],
  "species": ["Ba", "Cd", "Si", "Si"],
  "frac_coords": [[0.000, 0.000, 0.000], [0.500, 0.500, 0.332], [0.000, 0.000, 0.574], [0.500, 0.500, 0.688]]
}


No. 7
{
  "formula": "Mn3BePt4",
  "functional": "PBE-GGA",
  "state": "relaxed",
  "e_form_mev_per_atom": -461.5,
  "lattice": [[2.853, 0.000, 0.000], [0.000, 2.853, 0.000], [0.000, 0.000, 13.913]],
  "species": ["Mn", "Mn", "Mn", "Be", "Pt", "Pt", "Pt", "Pt"],
  "frac_coords": [[0.000, 0.000, 0.000], [0.000, 0.000, 0.263], [0.000, 0.000, 0.737], [0.000, 0.000, 0.500], [0.500, 0.500, 0.131], [0.500, 0.500, 0.397], [0.500, 0.500, 0.603], [0.500, 0.500, 0.869]]
}


No. 8
{
  "formula": "Sr2Li3Cd12Rh",
  "functional": "PBE-GGA",
  "state": "relaxed",
  "e_form_mev_per_atom": -83.7,
  "lattice": [[3.535, 2.041, 10.628], [-3.535, 2.041, 10.628], [0.000, -4.082, 10.628]],
  "species": ["Sr", "Sr", "Li", "Li", "Li", "Cd", "Cd", "Cd", "Cd", "Cd", "Cd", "Cd", "Cd", "Cd", "Cd", "Cd", "Cd", "Rh"],
  "frac_coords": [[0.144, 0.144, 0.144], [0.856, 0.856, 0.856], [0.000, 0.500, 0.500], [0.500, 0.000, 0.500], [0.500, 0.500, 0.000], [0.090, 0.090, 0.679], [0.090, 0.679, 0.090], [0.135, 0.588, 0.588], [0.321, 0.910, 0.910], [0.412, 0.412, 0.865], [0.412, 0.865, 0.412], [0.588, 0.135, 0.588], [0.588, 0.588, 0.135], [0.679, 0.090, 0.090], [0.865, 0.412, 0.412], [0.910, 0.321, 0.910], [0.910, 0.910, 0.321], [0.500, 0.500, 0.500]]
}


no.,E_tot (Ry/atom)
1,-0.3995
2,-0.1905
3,-0.2713
4,-0.2888
5,-0.2546
6,-0.2470
7,-0.5429
8,-0.1182